Entry 1:
The following is a DFT calculation (PBE-GGA) of a relaxed structure of Tm5AlCo.

The structure belongs to space group C2/c (No. 15); the cell edges are 10.747, 6.609 and 10.884 Å and the angles 90.00°, 109.62° and 90.00°. The distinct sites, in fractional coordinates, are Tm at (0.000, 0.024, 0.250), Tm at (0.120, 0.328, 0.041), Tm at (0.218, 0.182, 0.640), Al at (0.000, 0.470, 0.750) and Co at (0.000, 0.000, 0.000).

Its calculated formation energy is -0.051 eV per atom.

Entry 2:
The following is a DFT calculation (PBE-GGA) of a relaxed structure of BeZn4Rh5.

The structure belongs to space group P4/mmm (No. 123); the cell edges are 2.951, 2.951 and 15.211 Å and the angles 90.00°, 90.00° and 90.00°. The distinct sites, in fractional coordinates, are Be at (0.000, 0.000, 0.000), Zn at (0.000, 0.000, 0.191), Zn at (0.000, 0.000, 0.397), Rh at (0.500, 0.500, 0.087), Rh at (0.500, 0.500, 0.294) and Rh at (0.500, 0.500, 0.500).

Its calculated formation energy is -0.405 eV per atom.